1.
DFT (PBE) results for a geometry-optimized LiHfSc2 structure.

Values from the calculation:
space-group type = No. 225
ΔE_f = 0.319 eV/atom

a b c (Å): 5.007 5.007 5.007
angles (deg): 60.00 60.00 60.00
Atoms (fractional coordinates):
Li (0.000, 0.000, 0.000)
Hf (0.500, 0.500, 0.500)
Sc (0.250, 0.250, 0.250)
Sc (0.750, 0.750, 0.750)

***

2.
DFT (PBE) results for a geometry-optimized TbSmCdCu structure.

Values from the calculation:
space-group type = No. 216
ΔE_f = -0.210 eV/atom

a b c (Å): 5.183 5.183 5.183
angles (deg): 60.00 60.00 60.00
Atoms (fractional coordinates):
Tb (0.000, 0.000, 0.000)
Sm (0.500, 0.500, 0.500)
Cd (0.250, 0.250, 0.250)
Cu (0.750, 0.750, 0.750)

***

3.
DFT (PBE) results for a geometry-optimized CaNdMgHg structure.

Values from the calculation:
space-group type = No. 99
ΔE_f = -0.302 eV/atom

a b c (Å): 3.886 3.886 7.658
angles (deg): 90.00 90.00 90.00
Atoms (fractional coordinates):
Ca (0.000, 0.000, 0.000)
Nd (0.000, 0.000, 0.481)
Mg (0.500, 0.500, 0.737)
Hg (0.500, 0.500, 0.244)

***

4.
DFT (PBE) results for a geometry-optimized Tb5Ga2Pb structure.

Values from the calculation:
space-group type = No. 140
ΔE_f = -0.518 eV/atom

a b c (Å): 8.907 8.907 8.907
angles (deg): 126.91 126.91 78.40
Atoms (fractional coordinates):
Tb (0.000, 0.000, 0.000)
Tb (0.018, 0.518, 0.822)
Tb (0.197, 0.018, 0.500)
Tb (0.303, 0.803, 0.822)
Tb (0.482, 0.303, 0.500)
Tb (0.500, 0.500, 0.000)
Tb (0.518, 0.697, 0.500)
Tb (0.697, 0.197, 0.178)
Tb (0.803, 0.982, 0.500)
Tb (0.982, 0.482, 0.178)
Ga (0.133, 0.367, 0.500)
Ga (0.367, 0.867, 0.233)
Ga (0.633, 0.133, 0.767)
Ga (0.867, 0.633, 0.500)
Pb (0.250, 0.250, 0.000)
Pb (0.750, 0.750, 0.000)

***

5.
DFT (PBE) results for a geometry-optimized ZnSe2Cl structure.

Values from the calculation:
space-group type = No. 216
raw formation energy = 0.3317 eV/atom

a b c (Å): 4.832 4.832 4.832
angles (deg): 60.00 60.00 60.00
Atoms (fractional coordinates):
Zn (0.000, 0.000, 0.000)
Se (0.500, 0.500, 0.500)
Se (0.750, 0.750, 0.750)
Cl (0.250, 0.250, 0.250)

***

6.
DFT (PBE) results for a geometry-optimized HgAsIr2 structure.

Values from the calculation:
space-group type = No. 123
ΔE_f = 0.262 eV/atom

a b c (Å): 2.993 2.993 7.337
angles (deg): 90.00 90.00 90.00
Atoms (fractional coordinates):
Hg (0.000, 0.000, 0.000)
As (0.000, 0.000, 0.500)
Ir (0.500, 0.500, 0.291)
Ir (0.500, 0.500, 0.709)

***

7.
DFT (PBE) results for a geometry-optimized LaY2TeI structure.

Values from the calculation:
space-group type = No. 123
raw formation energy = 0.1683 eV/atom

a b c (Å): 5.584 5.584 6.283
angles (deg): 90.00 90.00 90.00
Atoms (fractional coordinates):
La (0.000, 0.000, 0.000)
Y (0.000, 0.500, 0.500)
Y (0.500, 0.000, 0.500)
Te (0.500, 0.500, 0.000)
I (0.500, 0.500, 0.500)

***

8.
DFT (PBE) results for a geometry-optimized Hg3SeO structure.

Values from the calculation:
space-group type = No. 36
raw formation energy = -0.0604 eV/atom

a b c (Å): 10.101 10.101 6.446
angles (deg): 90.00 90.00 157.18
Atoms (fractional coordinates):
Hg (0.071, 0.929, 0.500)
Hg (0.225, 0.775, 0.901)
Hg (0.396, 0.604, 0.698)
Hg (0.604, 0.396, 0.198)
Hg (0.775, 0.225, 0.401)
Hg (0.929, 0.071, 0.000)
Se (0.080, 0.920, 0.909)
Se (0.920, 0.080, 0.409)
O (0.277, 0.723, 0.596)
O (0.723, 0.277, 0.096)

***

9.
DFT (PBE) results for a geometry-optimized KHf2ReIr structure.

Values from the calculation:
space-group type = No. 123
ΔE_f = 0.851 eV/atom

a b c (Å): 5.101 5.101 4.896
angles (deg): 90.00 90.00 90.00
Atoms (fractional coordinates):
K (0.000, 0.000, 0.000)
Hf (0.000, 0.500, 0.500)
Hf (0.500, 0.000, 0.500)
Re (0.500, 0.500, 0.000)
Ir (0.500, 0.500, 0.500)

***

10.
DFT (PBE) results for a geometry-optimized SrCuSnPd2 structure.

Values from the calculation:
space-group type = No. 123
ΔE_f = -0.125 eV/atom

a b c (Å): 4.964 4.964 4.710
angles (deg): 90.00 90.00 90.00
Atoms (fractional coordinates):
Sr (0.000, 0.000, 0.000)
Cu (0.500, 0.500, 0.500)
Sn (0.500, 0.500, 0.000)
Pd (0.000, 0.500, 0.500)
Pd (0.500, 0.000, 0.500)

***

11.
DFT (PBE) results for a geometry-optimized LiZnSi2 structure.

Values from the calculation:
space-group type = No. 99
raw formation energy = 0.1407 eV/atom

a b c (Å): 2.709 2.709 7.935
angles (deg): 90.00 90.00 90.00
Atoms (fractional coordinates):
Li (0.000, 0.000, 0.000)
Zn (0.500, 0.500, 0.746)
Si (0.000, 0.000, 0.493)
Si (0.500, 0.500, 0.244)

***

12.
DFT (PBE) results for a geometry-optimized PmLu2Au structure.

Values from the calculation:
space-group type = No. 123
ΔE_f = -0.245 eV/atom

a b c (Å): 4.693 4.693 4.718
angles (deg): 90.00 90.00 90.00
Atoms (fractional coordinates):
Pm (0.000, 0.000, 0.000)
Lu (0.000, 0.500, 0.500)
Lu (0.500, 0.000, 0.500)
Au (0.500, 0.500, 0.000)

***

| no. | total magnetization (μB/cell) | calculated volume (Å³/f.u.) | E (eV/atom) |
| --- | --- | --- | --- |
| 1 | 1.2 | 88.8 | -5.81 |
| 2 | 0.0 | 98.4 | -3.80 |
| 3 | 0.3 | 115.6 | -2.47 |
| 4 | 0.0 | 218.7 | -4.63 |
| 5 | 0.0 | 79.8 | -2.19 |
| 6 | 0.0 | 65.7 | -5.41 |
| 7 | 0.0 | 196.0 | -4.34 |
| 8 | 0.0 | 127.5 | -1.93 |
| 9 | 0.2 | 127.4 | -7.61 |
| 10 | 0.0 | 116.1 | -4.16 |
| 11 | 0.0 | 58.2 | -3.37 |
| 12 | 0.0 | 103.9 | -4.51 |